AgBI3 | meta-GGA SCAN | PBEsol geometry

abc: 5.5314 5.5314 5.5314
angles: 90.00 90.00 90.00
Element x y z (fractional)
1 I 0.0000 0.5000 0.0000
2 I 0.0000 0.0000 0.5000
3 I 0.5000 0.0000 0.0000
4 B 0.5000 0.5000 0.5000
5 Ag 0.0000 0.0000 0.0000

SG: Pm-3m, No. 221
Magnetization: 0.0 μB per formula unit
Formation energy without anion corrections: 1.0278 eV/atom
Fermi-level density of states: 1.4 states/eV per cell